Entry 1:
Compound: TaIr
Source: Alexandria via LeMat-Bulk
Functional: PBE
Structure: optimized geometry

POSCAR file:
```
TaIr
1.0
2.856 0.000 0.000
-1.428 9.370 0.008
1.428 -0.220 2.464
Ta Ir
2 2
Direct
0.504 0.512 0.504 Ta
0.746 0.238 0.746 Ta
0.249 0.747 0.249 Ir
0.001 0.003 0.001 Ir
```

Calculated values
- formation energy (eV per atom) = -0.126
- DFT total energy (eV/cell) = -41.93
- V (A^3/atom) = 16.48
- density (Mg/m³) = 18.8

Entry 2:
Compound: TaIr5
Source: Alexandria via LeMat-Bulk
Functional: PBE
Structure: optimized geometry

POSCAR file:
```
TaIr5
1.0
1.408 -7.202 0.000
1.408 7.202 0.000
0.000 0.000 4.446
Ta Ir
1 5
Direct
0.889 0.111 0.500 Ta
0.669 0.331 0.000 Ir
0.334 0.666 0.000 Ir
0.003 0.997 0.000 Ir
0.552 0.448 0.500 Ir
0.220 0.780 0.500 Ir
```

Calculated values
- formation energy (eV per atom) = -0.284
- DFT total energy (eV/cell) = -57.86
- V (A^3/atom) = 15.03
- density (Mg/m³) = 21.0

Entry 3:
Compound: Ta4Ir
Source: Alexandria via LeMat-Bulk
Functional: PBE
Structure: optimized geometry

POSCAR file:
```
Ta4Ir
1.0
4.811 0.000 0.000
0.000 4.811 0.000
0.000 0.000 4.811
Ta Ir
4 1
Direct
0.500 0.000 0.500 Ta
0.500 0.500 0.000 Ta
0.000 0.000 0.000 Ta
0.000 0.500 0.500 Ta
0.500 0.500 0.500 Ir
```

Calculated values
- formation energy (eV per atom) = 1.194
- DFT total energy (eV/cell) = -50.30
- V (A^3/atom) = 22.27
- density (Mg/m³) = 13.7
- relative energy among the computed polymorphs (meV per atom) = 1498.1

Entry 4:
Compound: Ta3Ir
Source: Alexandria via LeMat-Bulk
Functional: PBE
Structure: optimized geometry

POSCAR file:
```
Ta3Ir
1.0
2.881 0.016 0.000
-0.469 2.843 0.000
0.000 0.000 8.479
Ir Ta
1 3
Direct
0.000 0.000 0.000 Ir
0.000 0.000 0.500 Ta
0.500 0.500 0.769 Ta
0.500 0.500 0.231 Ta
```

Calculated values
- formation energy (eV per atom) = -0.245
- DFT total energy (eV/cell) = -45.40
- V (A^3/atom) = 17.38
- density (Mg/m³) = 17.6